VASP calculation (GGA-PBE) on CoSi2Hg after structural relaxation.

Formation energy (no corrections) = 0.64 eV per formula unit
Uncorrected energy = -4.4041 eV per atom

Cell: 3.0022 3.0022 24.0052 Å, 90.00 90.00 120.00°
Space group R-3m (No. 166, hexagonal axes)
Inequivalent atoms, fractional coordinates:
Co 0.0000 0.0000 0.0000 x3
Si 0.0000 0.0000 0.2679 x6
Hg 0.0000 0.0000 0.5000 x3